Entry 1:
Below is crystalline ZnIrPt2O at its relaxed geometry, with properties calculated at the PBE level.

a b c (Å): 4.283 4.283 3.933
angles (deg): 90.00 90.00 90.00
Space group P4/mmm (No. 123)
Symmetry-distinct sites (fractional):
Zn 0.000 0.000 0.000
Ir 0.500 0.500 0.000
Pt 0.000 0.500 0.500
O 0.000 0.000 0.500

raw formation energy: 0.359 eV/atom
energy: -0.373 Ry/atom
M_tot: 0.00 μB per formula unit


Entry 2:
Below is crystalline PuIr2O8 at its relaxed geometry, with properties calculated at the PBE level.

a b c (Å): 5.8779 5.8779 7.0836
angles (deg): 90.00 90.00 120.00
Space group P-3m1 (No. 164)
Symmetry-distinct sites (fractional):
Pu 0.0000 0.0000 0.0000
Ir 0.3333 0.6667 0.7060
O 0.1708 0.3417 0.8258
O 0.3333 0.6667 0.4599

raw formation energy: -1.007 eV/atom
energy: -0.553 Ry/atom
M_tot: 2.27 μB per formula unit


Q: M_tot of number 1 (ZnIrPt2O)?
A: 0.00 μB per formula unit


Q: Look up the M_tot of the first one.
A: 0.00 μB per formula unit